Entry 1:
Crystalline DySc2Ru at its relaxed geometry, computed with PBE-GGA.

The total DFT energy (no corrections) is -6.980 eV/atom. As for the calculated density: 6.40 Mg/m³. The calculation puts the formation energy at -0.345 eV/atom. The calculation puts the distance to the lowest polymorph of the same formula at 0 meV/atom.

It has space group Pnma (No. 62), with a = 7.1662 Å, b = 8.5588 Å, c = 5.9798 Å, α = 90.00°, β = 90.00° and γ = 90.00°. The inequivalent atoms are Dy at (0.0361, 0.2500, 0.1234), Sc at (0.1745, 0.0639, 0.6566) and Ru at (0.1168, 0.7500, 0.4367).


Entry 2:
Crystalline Ca3ZnPt at its relaxed geometry, computed with PBE-GGA.

The total DFT energy (no corrections) is -3.029 eV/atom. As for the calculated density: 3.73 Mg/m³. The calculation puts the formation energy at -0.365 eV/atom. The calculation puts the distance to the lowest polymorph of the same formula at 165 meV/atom.

It has space group Pm-3m (No. 221), with a = 5.5323 Å, b = 5.5323 Å, c = 5.5323 Å, α = 90.00°, β = 90.00° and γ = 90.00°. The inequivalent atoms are Ca at (0.0000, 0.0000, 0.5000), Zn at (0.5000, 0.5000, 0.5000) and Pt at (0.0000, 0.0000, 0.0000).